Entry 1:
Crystalline InReCl2 at its relaxed geometry. Source: the Alexandria database, functional GGA-PBE.

DOS at the Fermi energy in states/eV per cell: 6.50
Magnetization in μB/f.u.: 0.0
E above lowest polymorph in meV/atom: 144
Formation energy (no corrections) in kJ/mol of atoms: 11.66

```
data_InReCl2
_chemical_formula_sum 'In3 Re3 Cl6'
_cell_length_a 3.0640
_cell_length_b 3.0640
_cell_length_c 29.8053
_cell_angle_alpha 90.00
_cell_angle_beta 90.00
_cell_angle_gamma 120.00
_symmetry_space_group_name_H-M 'R -3 m'
_symmetry_Int_Tables_number 166
_symmetry_space_group_name_Hall '-R 3 2"'
loop_
_atom_site_label
_atom_site_fract_x
_atom_site_fract_y
_atom_site_fract_z
_atom_site_occupancy
In1 0.0000 0.0000 0.0000 1
Re1 0.0000 0.0000 0.5000 1
Cl1 0.0000 0.0000 0.4242 1
```

***

Entry 2:
Crystalline InRe2Cl at its relaxed geometry. Source: the Alexandria database, functional GGA-PBE.

DOS at the Fermi energy in states/eV per cell: 2.98
Magnetization in μB/f.u.: 0.0
E above lowest polymorph in meV/atom: 812
Formation energy (no corrections) in kJ/mol of atoms: 88.44

```
data_InRe2Cl
_chemical_formula_sum 'In1 Re2 Cl1'
_cell_length_a 2.815
_cell_length_b 4.931
_cell_length_c 4.984
_cell_angle_alpha 90.00
_cell_angle_beta 90.00
_cell_angle_gamma 90.00
_symmetry_space_group_name_H-M 'P m m m'
_symmetry_Int_Tables_number 47
_symmetry_space_group_name_Hall '-P 2 2'
loop_
_atom_site_label
_atom_site_fract_x
_atom_site_fract_y
_atom_site_fract_z
_atom_site_occupancy
In1 0.000 0.000 0.000 1
Re1 0.000 0.500 0.500 1
Re2 0.500 0.000 0.500 1
Cl1 0.500 0.500 0.000 1
```

***

Entry 3:
Crystalline InReCl2 at its relaxed geometry. Source: the Alexandria database, functional GGA-PBE.

DOS at the Fermi energy in states/eV per cell: 4.63
Magnetization in μB/f.u.: 0.0
E above lowest polymorph in meV/atom: 196
Formation energy (no corrections) in kJ/mol of atoms: 16.70

```
data_InReCl2
_chemical_formula_sum 'In2 Re2 Cl4'
_cell_length_a 3.151
_cell_length_b 5.871
_cell_length_c 9.577
_cell_angle_alpha 90.00
_cell_angle_beta 90.00
_cell_angle_gamma 90.00
_symmetry_space_group_name_H-M 'C m m 2'
_symmetry_Int_Tables_number 35
_symmetry_space_group_name_Hall 'C 2 -2'
loop_
_atom_site_label
_atom_site_fract_x
_atom_site_fract_y
_atom_site_fract_z
_atom_site_occupancy
In1 0.000 0.000 0.000 1
Re1 0.000 0.500 0.765 1
Cl1 0.000 0.000 0.581 1
Cl2 0.000 0.500 0.213 1
```

***

Entry 4:
Crystalline InReCl2 at its relaxed geometry. Source: the Alexandria database, functional GGA-PBE.

DOS at the Fermi energy in states/eV per cell: 3.83
Magnetization in μB/f.u.: 2.4
E above lowest polymorph in meV/atom: 662
Formation energy (no corrections) in kJ/mol of atoms: 61.69

```
data_InReCl2
_chemical_formula_sum 'In2 Re2 Cl4'
_cell_length_a 6.047
_cell_length_b 9.334
_cell_length_c 3.234
_cell_angle_alpha 90.00
_cell_angle_beta 120.03
_cell_angle_gamma 90.00
_symmetry_space_group_name_H-M 'C 1 2/m 1'
_symmetry_Int_Tables_number 12
_symmetry_space_group_name_Hall '-C 2y'
loop_
_atom_site_label
_atom_site_fract_x
_atom_site_fract_y
_atom_site_fract_z
_atom_site_occupancy
In1 0.000 0.000 0.000 1
Re1 0.000 0.500 0.000 1
Cl1 0.250 0.250 0.000 1
```

***

Entry 5:
Crystalline InReCl at its relaxed geometry. Source: the Alexandria database, functional GGA-PBE.

DOS at the Fermi energy in states/eV per cell: 3.10
Magnetization in μB/f.u.: 0.0
E above lowest polymorph in meV/atom: 268
Formation energy (no corrections) in kJ/mol of atoms: 75.95

```
data_InReCl
_chemical_formula_sum 'In1 Re1 Cl1'
_cell_length_a 4.5995
_cell_length_b 4.5995
_cell_length_c 2.9337
_cell_angle_alpha 90.00
_cell_angle_beta 90.00
_cell_angle_gamma 120.00
_symmetry_space_group_name_H-M 'P -6 m 2'
_symmetry_Int_Tables_number 187
_symmetry_space_group_name_Hall 'P -6 2'
loop_
_atom_site_label
_atom_site_fract_x
_atom_site_fract_y
_atom_site_fract_z
_atom_site_occupancy
In1 0.0000 0.0000 0.0000 1
Re1 0.6667 0.3333 0.5000 1
Cl1 0.3333 0.6667 0.5000 1
```

***

Entry 6:
Crystalline InReCl2 at its relaxed geometry. Source: the Alexandria database, functional GGA-PBE.

DOS at the Fermi energy in states/eV per cell: 2.91
Magnetization in μB/f.u.: 2.1
E above lowest polymorph in meV/atom: 638
Formation energy (no corrections) in kJ/mol of atoms: 59.34

```
data_InReCl2
_chemical_formula_sum 'In1 Re1 Cl2'
_cell_length_a 3.060
_cell_length_b 4.596
_cell_length_c 5.527
_cell_angle_alpha 90.00
_cell_angle_beta 90.00
_cell_angle_gamma 90.00
_symmetry_space_group_name_H-M 'P m m m'
_symmetry_Int_Tables_number 47
_symmetry_space_group_name_Hall '-P 2 2'
loop_
_atom_site_label
_atom_site_fract_x
_atom_site_fract_y
_atom_site_fract_z
_atom_site_occupancy
In1 0.000 0.000 0.000 1
Re1 0.500 0.000 0.500 1
Cl1 0.000 0.500 0.500 1
Cl2 0.500 0.500 0.000 1
```

***

Entry 7:
Crystalline InRe2Cl at its relaxed geometry. Source: the Alexandria database, functional GGA-PBE.

DOS at the Fermi energy in states/eV per cell: 12.01
Magnetization in μB/f.u.: 0.0
E above lowest polymorph in meV/atom: 1250
Formation energy (no corrections) in kJ/mol of atoms: 130.70

```
data_InRe2Cl
_chemical_formula_sum 'In4 Re8 Cl4'
_cell_length_a 7.114
_cell_length_b 7.114
_cell_length_c 5.531
_cell_angle_alpha 90.00
_cell_angle_beta 90.00
_cell_angle_gamma 90.00
_symmetry_space_group_name_H-M 'I -4 2 d'
_symmetry_Int_Tables_number 122
_symmetry_space_group_name_Hall 'I -4 2bw'
loop_
_atom_site_label
_atom_site_fract_x
_atom_site_fract_y
_atom_site_fract_z
_atom_site_occupancy
In1 0.000 0.000 0.000 1
Re1 0.171 0.250 0.625 1
Cl1 0.000 0.000 0.500 1
```

***

Entry 8:
Crystalline InRe2Cl at its relaxed geometry. Source: the Alexandria database, functional GGA-PBE.

DOS at the Fermi energy in states/eV per cell: 5.07
Magnetization in μB/f.u.: 0.0
E above lowest polymorph in meV/atom: 1142
Formation energy (no corrections) in kJ/mol of atoms: 120.23

```
data_InRe2Cl
_chemical_formula_sum 'In1 Re2 Cl1'
_cell_length_a 2.823
_cell_length_b 2.823
_cell_length_c 8.478
_cell_angle_alpha 90.00
_cell_angle_beta 90.00
_cell_angle_gamma 90.00
_symmetry_space_group_name_H-M 'P 4/m m m'
_symmetry_Int_Tables_number 123
_symmetry_space_group_name_Hall '-P 4 2'
loop_
_atom_site_label
_atom_site_fract_x
_atom_site_fract_y
_atom_site_fract_z
_atom_site_occupancy
In1 0.000 0.000 0.000 1
Re1 0.500 0.500 0.257 1
Cl1 0.000 0.000 0.500 1
```

***

Entry 9:
Crystalline InRe2Cl at its relaxed geometry. Source: the Alexandria database, functional GGA-PBE.

DOS at the Fermi energy in states/eV per cell: 8.41
Magnetization in μB/f.u.: 0.7
E above lowest polymorph in meV/atom: 1229
Formation energy (no corrections) in kJ/mol of atoms: 128.64

```
data_InRe2Cl
_chemical_formula_sum 'In2 Re4 Cl2'
_cell_length_a 5.178
_cell_length_b 10.163
_cell_length_c 2.776
_cell_angle_alpha 90.00
_cell_angle_beta 90.00
_cell_angle_gamma 90.00
_symmetry_space_group_name_H-M 'C m m m'
_symmetry_Int_Tables_number 65
_symmetry_space_group_name_Hall '-C 2 2'
loop_
_atom_site_label
_atom_site_fract_x
_atom_site_fract_y
_atom_site_fract_z
_atom_site_occupancy
In1 0.000 0.000 0.000 1
Re1 0.250 0.250 0.500 1
Cl1 0.000 0.500 0.000 1
```

***

Entry 10:
Crystalline InReCl at its relaxed geometry. Source: the Alexandria database, functional GGA-PBE.

DOS at the Fermi energy in states/eV per cell: 4.29
Magnetization in μB/f.u.: 0.0
E above lowest polymorph in meV/atom: 354
Formation energy (no corrections) in kJ/mol of atoms: 84.23

```
data_InReCl
_chemical_formula_sum 'In2 Re2 Cl2'
_cell_length_a 2.833
_cell_length_b 3.985
_cell_length_c 9.980
_cell_angle_alpha 90.00
_cell_angle_beta 90.00
_cell_angle_gamma 90.00
_symmetry_space_group_name_H-M 'I m m 2'
_symmetry_Int_Tables_number 44
_symmetry_space_group_name_Hall 'I 2 -2'
loop_
_atom_site_label
_atom_site_fract_x
_atom_site_fract_y
_atom_site_fract_z
_atom_site_occupancy
In1 0.000 0.000 0.000 1
Re1 0.000 0.000 0.700 1
Cl1 0.000 0.000 0.288 1
```